Below is a relaxed structure of Mg6ZrSn, with properties calculated at the PBE level.

Results
crystal system	orthorhombic
M_tot	0.000	μB/atom
space group	Amm2, No. 38
relative energy among the computed polymorphs	0	meV/atom
E_form	-0.06	eV per atom

Cell: 6.4605 6.4605 5.1099 Å, 90.00 90.00 122.83°
Fractional positions:
Mg  0.1688  0.8312  0.0000
Mg  0.1637  0.3190  0.0000
Mg  0.3306  0.1719  0.5000
Mg  0.6810  0.8363  0.0000
Mg  0.6696  0.3304  0.0000
Mg  0.8281  0.6694  0.5000
Zr  0.8271  0.1729  0.5000
Sn  0.3310  0.6690  0.5000